{
  "formula": "Pr2Cu9Ag",
  "functional": "PBE",
  "state": "optimized geometry",
  "density_g_cm3": 8.3,
  "crystal_system": "trigonal",
  "total_magnetization_mub_per_fu": 0.00,
  "e_form_mev_per_atom": -18.1,
  "sg": "No. 166",
  "e_tot_ev_per_atom": -4.124,
  "lattice_angstrom": [[2.5836, 1.4916, 8.3420], [-2.5836, 1.4916, 8.3420], [0.0000, -2.9833, 8.3420]],
  "species": ["Pr", "Pr", "Cu", "Cu", "Cu", "Cu", "Cu", "Cu", "Cu", "Cu", "Cu", "Ag"],
  "frac_coords": [[0.1334, 0.1334, 0.1334], [0.8666, 0.8666, 0.8666], [0.0786, 0.5791, 0.5791], [0.3327, 0.3327, 0.3327], [0.4209, 0.4209, 0.9214], [0.4209, 0.9214, 0.4209], [0.5000, 0.5000, 0.5000], [0.5791, 0.0786, 0.5791], [0.5791, 0.5791, 0.0786], [0.6673, 0.6673, 0.6673], [0.9214, 0.4209, 0.4209], [0.0000, 0.0000, 0.0000]]
}

=====

{
  "formula": "PrCuAg2",
  "functional": "PBE",
  "state": "optimized geometry",
  "density_g_cm3": 8.1,
  "crystal_system": "cubic",
  "total_magnetization_mub_per_fu": 0.00,
  "polymorph_energy_mev_per_atom": 163,
  "e_form_mev_per_atom": -33.1,
  "sg": "No. 225",
  "e_tot_ev_per_atom": -3.678,
  "lattice_angstrom": [[0.0000, 3.5054, 3.5054], [3.5054, 0.0000, 3.5054], [3.5054, 3.5054, 0.0000]],
  "species": ["Pr", "Cu", "Ag", "Ag"],
  "frac_coords": [[0.0000, 0.0000, 0.0000], [0.5000, 0.5000, 0.5000], [0.2500, 0.2500, 0.2500], [0.7500, 0.7500, 0.7500]]
}

=====

{
  "formula": "PrCuAg",
  "functional": "PBE",
  "state": "optimized geometry",
  "density_g_cm3": 7.7,
  "crystal_system": "hexagonal",
  "total_magnetization_mub_per_fu": 0.00,
  "polymorph_energy_mev_per_atom": 44,
  "e_form_mev_per_atom": -181.7,
  "sg": "No. 191",
  "e_tot_ev_per_atom": -4.091,
  "lattice_angstrom": [[4.6192, 0.0000, 0.0000], [-2.3096, 4.0004, 0.0000], [0.0000, 0.0000, 7.3218]],
  "species": ["Pr", "Pr", "Cu", "Cu", "Ag", "Ag"],
  "frac_coords": [[0.0000, 0.0000, 0.2322], [0.0000, 0.0000, 0.7678], [0.3333, 0.6667, 0.0000], [0.6667, 0.3333, 0.0000], [0.3333, 0.6667, 0.5000], [0.6667, 0.3333, 0.5000]]
}

=====

{
  "formula": "Pr2Cu15Ag2",
  "functional": "PBE",
  "state": "optimized geometry",
  "density_g_cm3": 8.5,
  "crystal_system": "trigonal",
  "total_magnetization_mub_per_fu": 0.00,
  "e_form_mev_per_atom": -79.5,
  "sg": "No. 166",
  "e_tot_ev_per_atom": -4.117,
  "lattice_angstrom": [[4.3869, 2.5328, 4.2620], [-4.3869, 2.5328, 4.2620], [0.0000, -5.0655, 4.2620]],
  "species": ["Pr", "Pr", "Cu", "Cu", "Cu", "Cu", "Cu", "Cu", "Cu", "Cu", "Cu", "Cu", "Cu", "Cu", "Cu", "Cu", "Cu", "Ag", "Ag"],
  "frac_coords": [[0.1531, 0.1531, 0.1531], [0.8469, 0.8469, 0.8469], [0.0000, 0.5000, 0.5000], [0.1540, 0.1540, 0.6586], [0.1540, 0.6586, 0.1540], [0.2019, 0.5000, 0.7981], [0.2019, 0.7981, 0.5000], [0.3414, 0.8460, 0.8460], [0.5000, 0.0000, 0.5000], [0.5000, 0.2019, 0.7981], [0.5000, 0.5000, 0.0000], [0.5000, 0.7981, 0.2019], [0.6586, 0.1540, 0.1540], [0.7981, 0.2019, 0.5000], [0.7981, 0.5000, 0.2019], [0.8460, 0.3414, 0.8460], [0.8460, 0.8460, 0.3414], [0.3964, 0.3964, 0.3964], [0.6036, 0.6036, 0.6036]]
}